(1)
Density functional theory data (PBE) for a relaxed Th6PdPt5 crystal. Values from VASP.

Cell and atoms, written as Quantum ESPRESSO input:
```
&SYSTEM
  ibrav = 0, nat = 12, ntyp = 3
/
ATOMIC_SPECIES
Th 232.04 Th.upf
Pd 106.42 Pd.upf
Pt 195.08 Pt.upf
CELL_PARAMETERS angstrom
3.475 -6.380 0.000
3.475 6.380 0.000
-2.634 0.000 7.071
ATOMIC_POSITIONS angstrom
Th -0.245 2.141 5.291
Th 1.063 0.000 1.774
Th -0.245 -2.141 5.291
Th 4.561 2.141 1.780
Th 3.253 0.000 5.297
Th 4.561 -2.141 1.780
Pd 3.475 0.000 0.000
Pt -1.317 0.000 3.535
Pt 3.475 4.254 0.000
Pt 2.158 2.117 3.535
Pt 2.158 -2.117 3.535
Pt 3.475 -4.254 0.000
```

Values from the calculation:
Total DFT energy (no corrections) (eV per atom): -7.76
Calculated formation energy (eV/atom): -1.104
M_tot (μB per formula unit): 0.00

(2)
Density functional theory data (PBE) for a relaxed ThPd4Pt crystal. Values from VASP.

Cell and atoms, written as Quantum ESPRESSO input:
```
&SYSTEM
  ibrav = 0, nat = 6, ntyp = 3
/
ATOMIC_SPECIES
Th 232.04 Th.upf
Pd 106.42 Pd.upf
Pt 195.08 Pt.upf
CELL_PARAMETERS angstrom
0.000 3.783 3.783
3.783 0.000 3.783
3.783 3.783 0.000
ATOMIC_POSITIONS angstrom
Th 0.000 0.000 0.000
Pd 4.724 2.842 2.842
Pd 2.842 4.724 2.842
Pd 2.842 2.842 4.724
Pd 4.724 4.724 4.724
Pt 1.891 1.891 1.891
```

Values from the calculation:
Total DFT energy (no corrections) (eV per atom): -6.33
Calculated formation energy (eV/atom): -0.623
Relative energy among the computed polymorphs (eV per formula unit): 0.24
M_tot (μB per formula unit): 0.00